Below is a geometry-optimized Sc2MnNiH structure, with properties calculated at the PBE-GGA level.

```
Sc2MnNiH
1.0
4.448 0.000 0.000
0.000 4.448 0.000
0.000 0.000 3.384
Sc Ni Mn H
2 1 1 1
Direct
0.000 0.500 0.000 Sc
0.500 0.000 0.000 Sc
0.500 0.500 0.500 Ni
0.000 0.000 0.500 Mn
0.000 0.000 0.000 H
```

Results
**Final energy**: -6.46 eV per atom
**Mass density**: 5.07 g/cm3
**Total magnetic moment**: 1.599 μB per formula unit